## Th3Tl2Ag6 (GGA-PBE)

Data for a relaxed Th3Tl2Ag6 crystal.

POSCAR file:
```
Th3Tl2Ag6
1.0
-1.948 1.948 18.461
1.948 -1.948 18.461
1.948 1.948 -18.461
Th Tl Ag
3 2 6
Direct
0.000 0.000 0.000 Th
0.184 0.184 0.000 Th
0.816 0.816 0.000 Th
0.368 0.368 0.000 Tl
0.632 0.632 0.000 Tl
0.068 0.568 0.500 Ag
0.269 0.269 0.000 Ag
0.432 0.932 0.500 Ag
0.568 0.068 0.500 Ag
0.731 0.731 0.000 Ag
0.932 0.432 0.500 Ag
```

Results
- Space-group type: I4/mmm (139)
- Calculated density: 10.38 g cm⁻³
- Total energy: -3.89 eV/atom
- ΔH_f (0 K): 0.12 eV/atom
- N(E_F): 5.99 states/eV/f.u.